Record 1
VASP calculation (PBE-GGA) on a relaxed HfTcSeN2 crystal.

Lattice parameters (Å, degrees): 4.0731 4.0731 5.5216 90.00 90.00 90.00
Element x y z (fractional)
Hf 0.0000 0.0000 0.0000
Tc 0.5000 0.5000 0.5000
Se 0.0000 0.0000 0.5000
N 0.0000 0.5000 0.0000
N 0.5000 0.0000 0.0000

Results
- formation energy without anion corrections (eV/atom) = 0.672
- DOS(E_F) (states/eV/f.u.) = 2.7
- mass density (g/cm3) = 6.95
- energy above the most stable polymorph in this dataset (meV/atom) = 307
- raw total energy (eV for the cell shown) = -37.1
- space-group type = No. 123

Record 2
VASP calculation (PBE-GGA) on a relaxed Co3TcP crystal.

Lattice parameters (Å, degrees): 4.3735 4.3735 4.3735 90.00 90.00 90.00
Element x y z (fractional)
P 0.5000 0.5000 0.5000
Co 0.0000 0.5000 0.0000
Co 0.0000 0.0000 0.5000
Co 0.5000 0.0000 0.0000
Tc 0.0000 0.0000 0.0000

Results
- DOS(E_F) (states/eV/f.u.) = 7.2
- mass density (g/cm3) = 6.07
- energy above the most stable polymorph in this dataset (meV/atom) = 1112
- raw total energy (eV for the cell shown) = -28.9
- ΔH_f (0 K) (eV/atom) = 1.63
- space-group type = No. 221

Record 3
VASP calculation (PBE-GGA) on a relaxed Mn2Zn2Ni4P crystal.

Lattice parameters (Å, degrees): 5.4659 5.4659 5.4659 92.11 118.79 118.79
Element x y z (fractional)
Mn 0.0000 0.7113 0.7113
Mn 0.0000 0.2887 0.2887
Zn 0.5000 0.7500 0.2500
Zn 0.5000 0.2500 0.7500
Ni 0.0000 0.7317 0.2683
Ni 0.4633 0.7317 0.7317
Ni 0.0000 0.2683 0.7317
Ni 0.5367 0.2683 0.2683
P 0.0000 0.0000 0.0000

Results
- DOS(E_F) (states/eV/f.u.) = 7.6
- mass density (g/cm3) = 7.16
- raw total energy (eV for the cell shown) = -50.2
- ΔH_f (0 K) (eV/atom) = -0.08
- space-group type = No. 139

Record 4
VASP calculation (PBE-GGA) on a relaxed Zr2TlCu crystal.

Lattice parameters (Å, degrees): 5.2232 5.2232 5.2232 130.31 130.31 72.91
Element x y z (fractional)
Tl 0.7500 0.2500 0.5000
Cu 0.2500 0.7500 0.5000
Zr 0.0000 0.0000 0.0000
Zr 0.5000 0.5000 0.0000

Results
- DOS(E_F) (states/eV/f.u.) = 4.0
- mass density (g/cm3) = 9.24
- raw total energy (eV for the cell shown) = -23.7
- ΔH_f (0 K) (eV/atom) = -0.04
- space-group type = No. 139

Record 5
VASP calculation (PBE-GGA) on a relaxed La2TbGa3Pt4 crystal.

Lattice parameters (Å, degrees): 4.3400 4.3400 11.3203 90.00 90.00 90.00
Element x y z (fractional)
La 0.5000 0.0000 0.2285
La 0.0000 0.5000 0.7715
Tb 0.5000 0.5000 0.5000
Ga 0.0000 0.0000 0.5000
Ga 0.5000 0.0000 0.8804
Ga 0.0000 0.5000 0.1196
Pt 0.5000 0.5000 0.0000
Pt 0.0000 0.0000 0.0000
Pt 0.5000 0.0000 0.6574
Pt 0.0000 0.5000 0.3426

Results
- DOS(E_F) (states/eV/f.u.) = 6.8
- mass density (g/cm3) = 11.11
- raw total energy (eV for the cell shown) = -57.8
- ΔH_f (0 K) (eV/atom) = -1.01
- space-group type = No. 115

Record 6
VASP calculation (PBE-GGA) on a relaxed KW crystal.

Lattice parameters (Å, degrees): 12.6632 12.6632 12.6632 13.29 13.29 13.29
Element x y z (fractional)
K 0.9871 0.9871 0.9871
K 0.7629 0.7629 0.7629
W 0.5104 0.5104 0.5104
W 0.2396 0.2396 0.2396

Results
- DOS(E_F) (states/eV/f.u.) = 2.0
- mass density (g/cm3) = 7.93
- energy above the most stable polymorph in this dataset (meV/atom) = 422
- raw total energy (eV for the cell shown) = -22.7
- ΔH_f (0 K) (eV/atom) = 1.34
- space-group type = No. 166

Record 7
VASP calculation (PBE-GGA) on a relaxed La3Pr2Sn crystal.

Lattice parameters (Å, degrees): 5.0582 4.9646 8.3707 90.00 107.59 90.00
Element x y z (fractional)
La 0.3387 0.0000 0.6775
La 0.6613 0.0000 0.3225
La 0.5000 0.5000 0.0000
Pr 0.1579 0.5000 0.3157
Pr 0.8421 0.5000 0.6843
Sn 0.0000 0.0000 0.0000

Results
- DOS(E_F) (states/eV/f.u.) = 8.0
- mass density (g/cm3) = 6.77
- raw total energy (eV for the cell shown) = -30.0
- ΔH_f (0 K) (eV/atom) = -0.28
- space-group type = No. 65

Record 8
VASP calculation (PBE-GGA) on a relaxed Sc2FeP6 crystal.

Lattice parameters (Å, degrees): 6.8320 6.8320 3.3835 90.00 90.00 120.00
Element x y z (fractional)
Sc 0.6667 0.3333 0.5000
Sc 0.3333 0.6667 0.5000
Fe 0.0000 0.0000 0.0000
P 0.0000 0.7648 0.5000
P 0.2352 0.2352 0.5000
P 0.7648 0.0000 0.5000
P 0.0000 0.3424 0.0000
P 0.6576 0.6576 0.0000
P 0.3424 0.0000 0.0000

Results
- DOS(E_F) (states/eV/f.u.) = 3.8
- mass density (g/cm3) = 4.03
- raw total energy (eV for the cell shown) = -58.1
- ΔH_f (0 K) (eV/atom) = -0.50
- space-group type = No. 189